An optimized crystal structure of NaTiCO5. Source: the Alexandria database, functional PBE-GGA.

Magnetic moment ... 2.1 Bohr magnetons per cell
Raw total energy ... -7.165 eV/atom
Calculated density ... 3.2 g/cm3
Energy relative to the elements, uncorrected ... -1761 meV/atom
Fermi-level density of states ... 0.4144 states/eV/atom

a b c (Å): 5.2787 5.2787 7.0354
angles (deg): 105.91 105.91 103.93
Element x y z (fractional)
O (0.6974, 0.1450, 0.3702)
O (0.9284, 0.0716, 0.7500)
O (0.7517, 0.5901, 0.3888)
O (0.5901, 0.7517, 0.8888)
O (0.4099, 0.2483, 0.1112)
O (0.8550, 0.3026, 0.1298)
O (0.0716, 0.9284, 0.2500)
O (0.1450, 0.6974, 0.8702)
O (0.3026, 0.8550, 0.6298)
O (0.2483, 0.4099, 0.6112)
Ti (0.0000, 0.0000, 0.5000)
Ti (0.0000, 0.0000, 0.0000)
Na (0.3337, 0.6663, 0.2500)
Na (0.6663, 0.3337, 0.7500)
C (0.3155, 0.6845, 0.7500)
C (0.6845, 0.3155, 0.2500)